LaNd5Ho2Er | PBE | relaxed

Properties
Magnetic moment in μB/cell: 0.008
Crystal system: orthorhombic
Energy of formation in meV per atom: 150

Unit cell a=5.7294 b=20.3246 c=10.6852 alpha=90.00 beta=90.00 gamma=90.00
Closest atoms and distances in Å follow each position.
Space group Cmc2_1 (No. 36)
Inequivalent atoms, fractional coordinates:
La (0.0000, 0.0850, 0.0000) (multiplicity 4)  5 Nd 3.10-3.36
Nd (0.0000, 0.0195, 0.2886) (multiplicity 4)  2 La 3.10-3.36
Nd (0.0000, 0.1157, 0.5702) (multiplicity 4)  6 Nd 3.59-3.94, 4 Ho 3.61-3.65, 1 Er 3.77
Nd (0.0000, 0.2037, 0.2539) (multiplicity 4)  4 Nd 3.46-3.82, 3 Er 3.55-3.81, 3 Ho 3.58-3.72, 1 La 3.63
Nd (0.0000, 0.2198, 0.8620) (multiplicity 4)  1 La 3.11, 1 Ho 3.34, 2 Nd 3.46
Nd (0.0000, 0.4830, 0.5696) (multiplicity 4)  2 La 3.27, 3 Ho 3.47-3.66
Ho (0.0000, 0.3844, 0.8652) (multiplicity 4)  9 Nd 3.34-3.74, 1 Er 3.69
Ho (0.0000, 0.3862, 0.2812) (multiplicity 4)  1 Er 3.43, 7 Nd 3.49-3.72, 2 La 3.74
Er (0.0000, 0.3010, 0.5584) (multiplicity 4)  2 Ho 3.43-3.69, 8 Nd 3.55-3.81, 2 La 3.74